Record 1
Density functional theory data (GGA-PBE) for a relaxed structure of CsZnHgSb2.

Cell and atoms, written as extended XYZ:
```
5
Lattice="7.681 0.000 0.000 0.000 7.681 0.000 0.000 0.000 7.943" Properties=species:S:1:pos:R:3 pbc="T T T"
Cs 0.000 0.000 0.000
Zn 0.000 0.000 3.971
Hg 3.840 3.840 3.971
Sb 0.000 3.840 0.000
Sb 3.840 0.000 0.000
```

Summary:
uncorrected formation energy	0.964	eV/atom
space-group type	P4/mmm, No. 123


Record 2
Density functional theory data (GGA-PBE) for a relaxed structure of CsScHg2.

Cell and atoms, written as extended XYZ:
```
16
Lattice="6.153 0.000 0.000 0.000 6.153 0.000 0.000 0.000 19.276" Properties=species:S:1:pos:R:3 pbc="T T T"
Cs 0.000 0.000 0.000
Cs 0.000 3.077 4.819
Cs 3.077 0.000 14.457
Cs 3.077 3.077 9.638
Sc 0.000 0.000 9.638
Sc 0.000 3.077 14.457
Sc 3.077 0.000 4.819
Sc 3.077 3.077 0.000
Hg 0.124 1.538 12.048
Hg 1.538 3.201 16.867
Hg 1.538 6.030 7.229
Hg 2.953 1.538 2.410
Hg 3.201 4.615 2.410
Hg 4.615 0.124 7.229
Hg 4.615 2.953 16.867
Hg 6.030 4.615 12.048
```

Summary:
ΔE_f	0.168	eV/atom
ΔE to the lowest computed polymorph	322.8	meV per atom
space-group type	I-42d, No. 122


Record 3
Density functional theory data (GGA-PBE) for a relaxed structure of Cs2ScHg.

Cell and atoms, written as extended XYZ:
```
16
Lattice="13.950 0.000 0.000 0.000 13.950 0.000 0.000 0.000 5.540" Properties=species:S:1:pos:R:3 pbc="T T T"
Cs 1.270 10.462 0.692
Cs 3.487 1.270 4.847
Cs 3.487 5.705 2.077
Cs 5.705 10.462 3.462
Cs 8.245 3.487 3.462
Cs 10.462 8.245 2.077
Cs 10.462 12.680 4.847
Cs 12.680 3.487 0.692
Sc 0.000 0.000 2.770
Sc 0.000 6.975 4.155
Sc 6.975 0.000 1.385
Sc 6.975 6.975 0.000
Hg 0.000 0.000 0.000
Hg 0.000 6.975 1.385
Hg 6.975 0.000 4.155
Hg 6.975 6.975 2.770
```

Summary:
ΔE_f	0.374	eV/atom
space-group type	I-42d, No. 122


Record 4
Density functional theory data (GGA-PBE) for a relaxed structure of Cs2ScHg2.

Cell and atoms, written as extended XYZ:
```
10
Lattice="7.908 0.000 0.000 0.000 7.908 0.000 0.000 0.000 6.453" Properties=species:S:1:pos:R:3 pbc="T T T"
Cs 1.380 2.574 0.000
Cs 2.574 6.529 0.000
Cs 5.334 1.380 0.000
Cs 6.529 5.334 0.000
Sc 0.000 0.000 3.227
Sc 3.954 3.954 3.227
Hg 1.128 5.082 3.227
Hg 2.826 1.128 3.227
Hg 5.082 6.780 3.227
Hg 6.780 2.826 3.227
```

Summary:
ΔE_f	0.111	eV/atom
space-group type	P4/mbm, No. 127


Record 5
Density functional theory data (GGA-PBE) for a relaxed structure of CsScHg3.

Cell and atoms, written as extended XYZ:
```
5
Lattice="6.579 0.000 0.000 0.000 6.579 0.000 0.000 0.000 6.579" Properties=species:S:1:pos:R:3 pbc="T T T"
Cs 0.000 0.000 0.000
Sc 3.289 3.289 3.289
Hg 0.000 0.000 3.289
Hg 0.000 3.289 0.000
Hg 3.289 0.000 0.000
```

Summary:
ΔE_f	0.754	eV/atom
ΔE to the lowest computed polymorph	799.4	meV per atom
space-group type	Pm-3m, No. 221


Record 6
Density functional theory data (GGA-PBE) for a relaxed structure of CsScHg2.

Cell and atoms, written as extended XYZ:
```
16
Lattice="8.028 0.000 0.000 0.000 8.028 0.000 0.000 0.000 8.028" Properties=species:S:1:pos:R:3 pbc="T T T"
Cs 0.000 0.000 0.000
Cs 0.000 4.014 4.014
Cs 4.014 0.000 4.014
Cs 4.014 4.014 0.000
Sc 0.000 0.000 4.014
Sc 0.000 4.014 0.000
Sc 4.014 0.000 0.000
Sc 4.014 4.014 4.014
Hg 2.007 2.007 2.007
Hg 2.007 2.007 6.021
Hg 2.007 6.021 2.007
Hg 2.007 6.021 6.021
Hg 6.021 2.007 2.007
Hg 6.021 2.007 6.021
Hg 6.021 6.021 2.007
Hg 6.021 6.021 6.021
```

Summary:
ΔE_f	0.208	eV/atom
ΔE to the lowest computed polymorph	362.7	meV per atom
space-group type	Fm-3m, No. 225


Record 7
Density functional theory data (GGA-PBE) for a relaxed structure of CsScHg2.

Cell and atoms, written as extended XYZ:
```
4
Lattice="3.679 0.000 0.000 0.000 3.679 0.000 0.000 0.000 8.949" Properties=species:S:1:pos:R:3 pbc="T T T"
Cs 0.000 0.000 0.000
Sc 0.000 0.000 4.474
Hg 1.840 1.840 2.882
Hg 1.840 1.840 6.067
```

Summary:
ΔE_f	-0.154	eV/atom
ΔE to the lowest computed polymorph	0.0	meV per atom
space-group type	P4/mmm, No. 123


Record 8
Density functional theory data (GGA-PBE) for a relaxed structure of CsScHg3.

Cell and atoms, written as extended XYZ:
```
5
Lattice="5.764 0.000 0.000 0.000 5.764 0.000 0.000 0.000 5.764" Properties=species:S:1:pos:R:3 pbc="T T T"
Cs 0.000 0.000 0.000
Sc 2.882 2.882 2.882
Hg 0.000 2.882 2.882
Hg 2.882 0.000 2.882
Hg 2.882 2.882 0.000
```

Summary:
ΔE_f	-0.045	eV/atom
ΔE to the lowest computed polymorph	0.0	meV per atom
space-group type	Pm-3m, No. 221


Record 9
Density functional theory data (GGA-PBE) for a relaxed structure of CsScHgSe3.

Cell and atoms, written as extended XYZ:
```
12
Lattice="9.267 0.000 0.000 0.000 4.163 0.000 -4.051 0.000 9.789" Properties=species:S:1:pos:R:3 pbc="T T T"
Cs 1.101 1.041 2.487
Cs 4.115 3.122 7.302
Sc -0.427 3.122 8.536
Sc 5.643 1.041 1.253
Hg -1.738 1.041 6.043
Hg 6.953 3.122 3.746
Se -2.330 1.041 8.587
Se -0.046 3.122 5.543
Se 3.848 3.122 1.375
Se 1.368 1.041 8.414
Se 5.262 1.041 4.246
Se 7.546 3.122 1.202
```

Summary:
uncorrected formation energy	-1.111	eV/atom
space-group type	P2_1/m, No. 11


Record 10
Density functional theory data (GGA-PBE) for a relaxed structure of CsSrSc2Hg.

Cell and atoms, written as extended XYZ:
```
5
Lattice="6.081 0.000 0.000 0.000 6.081 0.000 0.000 0.000 6.225" Properties=species:S:1:pos:R:3 pbc="T T T"
Cs 0.000 0.000 0.000
Sr 3.040 3.040 3.112
Sc 0.000 3.040 3.112
Sc 3.040 0.000 3.112
Hg 3.040 3.040 0.000
```

Summary:
ΔE_f	0.951	eV/atom
space-group type	P4/mmm, No. 123


Record 11
Density functional theory data (GGA-PBE) for a relaxed structure of CsScHg2Te.

Cell and atoms, written as extended XYZ:
```
5
Lattice="5.848 0.000 0.000 0.000 5.848 0.000 0.000 0.000 5.620" Properties=species:S:1:pos:R:3 pbc="T T T"
Cs 0.000 0.000 0.000
Sc 2.924 2.924 2.810
Hg 0.000 2.924 2.810
Hg 2.924 0.000 2.810
Te 2.924 2.924 0.000
```

Summary:
uncorrected formation energy	-0.493	eV/atom
space-group type	P4/mmm, No. 123


Record 12
Density functional theory data (GGA-PBE) for a relaxed structure of CsScTiHg2.

Cell and atoms, written as extended XYZ:
```
5
Lattice="5.613 0.000 0.000 0.000 5.613 0.000 0.000 0.000 5.012" Properties=species:S:1:pos:R:3 pbc="T T T"
Cs 0.000 0.000 0.000
Sc 2.806 2.806 0.000
Ti 2.806 2.806 2.506
Hg 0.000 2.806 2.506
Hg 2.806 0.000 2.506
```

Summary:
ΔE_f	0.371	eV/atom
space-group type	P4/mmm, No. 123